A plane-wave DFT calculation with GGA+U was carried out for a relaxed structure of Sn2WF.

Energy ... -0.3140 Ry per atom
Space group ... No. 225
Offset from the most stable computed form ... 0 meV per atom

Cell: 4.8844 4.8844 4.8844 Å, 60.00 60.00 60.00°
Atoms (fractional coordinates):
Sn (0.2500, 0.2500, 0.2500)
Sn (0.7500, 0.7500, 0.7500)
W (0.0000, 0.0000, 0.0000)
F (0.5000, 0.5000, 0.5000)